Entry 1:
VASP calculation (PBE-GGA) on a relaxed La4RuSeS2 crystal.

Cell: 7.323 4.173 7.426 Å, 90.00 107.96 90.00°
Positions (direct):
La 0.244 0.000 0.271
La 0.246 0.500 0.738
La 0.754 0.500 0.262
La 0.756 0.000 0.729
Ru 0.000 0.000 0.500
Se 0.000 0.500 0.000
S 0.500 0.000 0.000
S 0.500 0.500 0.500

Properties
The total moment is 0.00 μB/f.u. The calculation puts the calculated density at 6.15 Mg/m³. The formation energy from raw total energies is -1578 meV per atom. For the density of states at the Fermi level, the calculation gives 0.7031 states/eV/atom.



Entry 2:
VASP calculation (PBE-GGA) on a relaxed LaRu2SeS crystal.

Cell: 4.487 4.487 5.535 Å, 90.00 90.00 90.00°
Positions (direct):
La 0.000 0.000 0.000
Ru 0.000 0.500 0.500
Ru 0.500 0.000 0.500
Se 0.500 0.500 0.500
S 0.500 0.500 0.000

Properties
The total moment is 0.94 μB/f.u. The calculation puts the calculated density at 6.73 Mg/m³. The formation energy from raw total energies is 71 meV per atom. For the density of states at the Fermi level, the calculation gives 0.9099 states/eV/atom.



Entry 3:
VASP calculation (PBE-GGA) on a relaxed La4RuSe2S crystal.

Cell: 7.390 4.206 7.501 Å, 90.00 107.74 90.00°
Positions (direct):
La 0.237 0.000 0.230
La 0.242 0.500 0.773
La 0.758 0.500 0.227
La 0.763 0.000 0.770
Ru 0.000 0.500 0.000
Se 0.000 0.000 0.500
Se 0.500 0.500 0.500
S 0.500 0.000 0.000

Properties
The total moment is 0.00 μB/f.u. The calculation puts the calculated density at 6.33 Mg/m³. The formation energy from raw total energies is -1565 meV per atom. For the density of states at the Fermi level, the calculation gives 0.7041 states/eV/atom.



Entry 4:
VASP calculation (PBE-GGA) on a relaxed LaSbRu2 crystal.

Cell: 7.331 7.331 6.520 Å, 90.00 90.00 90.00°
Positions (direct):
La 0.000 0.000 0.000
La 0.000 0.500 0.250
La 0.500 0.000 0.750
La 0.500 0.500 0.500
Sb 0.000 0.000 0.500
Sb 0.000 0.500 0.750
Sb 0.500 0.000 0.250
Sb 0.500 0.500 0.000
Ru 0.213 0.250 0.625
Ru 0.250 0.713 0.875
Ru 0.250 0.787 0.375
Ru 0.287 0.250 0.125
Ru 0.713 0.750 0.125
Ru 0.750 0.213 0.375
Ru 0.750 0.287 0.875
Ru 0.787 0.750 0.625

Properties
The total moment is 0.00 μB/f.u. The calculation puts the calculated density at 8.77 Mg/m³. The formation energy from raw total energies is 193 meV per atom. For the density of states at the Fermi level, the calculation gives 0.3905 states/eV/atom.



Entry 5:
VASP calculation (PBE-GGA) on a relaxed LaSb2Ru crystal.

Cell: 7.218 7.218 7.218 Å, 90.00 90.00 90.00°
Positions (direct):
La 0.000 0.000 0.000
La 0.000 0.500 0.500
La 0.500 0.000 0.500
La 0.500 0.500 0.000
Sb 0.250 0.250 0.250
Sb 0.250 0.250 0.750
Sb 0.250 0.750 0.250
Sb 0.250 0.750 0.750
Sb 0.750 0.250 0.250
Sb 0.750 0.250 0.750
Sb 0.750 0.750 0.250
Sb 0.750 0.750 0.750
Ru 0.000 0.000 0.500
Ru 0.000 0.500 0.000
Ru 0.500 0.000 0.000
Ru 0.500 0.500 0.500

Properties
The total moment is 0.00 μB/f.u. The calculation puts the calculated density at 8.54 Mg/m³. The formation energy from raw total energies is -195 meV per atom. For the density of states at the Fermi level, the calculation gives 1.4569 states/eV/atom.



Entry 6:
VASP calculation (PBE-GGA) on a relaxed LaSb2Ru crystal.

Cell: 3.988 3.988 23.515 Å, 90.00 90.00 120.00°
Positions (direct):
La 0.000 0.000 0.000
La 0.333 0.667 0.667
La 0.667 0.333 0.333
Sb 0.000 0.000 0.229
Sb 0.000 0.000 0.461
Sb 0.333 0.667 0.127
Sb 0.333 0.667 0.896
Sb 0.667 0.333 0.563
Sb 0.667 0.333 0.794
Ru 0.000 0.000 0.739
Ru 0.333 0.667 0.406
Ru 0.667 0.333 0.072

Properties
The total moment is 0.00 μB/f.u. The calculation puts the calculated density at 7.44 Mg/m³. The formation energy from raw total energies is -77 meV per atom. For the density of states at the Fermi level, the calculation gives 0.8887 states/eV/atom.



Entry 7:
VASP calculation (PBE-GGA) on a relaxed LaSb2Ru crystal.

Cell: 3.375 4.173 14.296 Å, 90.00 90.00 90.00°
Positions (direct):
La 0.000 0.000 0.000
La 0.500 0.500 0.500
Sb 0.000 0.000 0.376
Sb 0.000 0.500 0.172
Sb 0.500 0.000 0.672
Sb 0.500 0.500 0.876
Ru 0.000 0.500 0.732
Ru 0.500 0.000 0.232

Properties
The total moment is 0.00 μB/f.u. The calculation puts the calculated density at 7.97 Mg/m³. The formation energy from raw total energies is -365 meV per atom. For the density of states at the Fermi level, the calculation gives 0.6448 states/eV/atom.



Entry 8:
VASP calculation (PBE-GGA) on a relaxed La2SbRu crystal.

Cell: 3.451 3.451 9.039 Å, 90.00 90.00 90.00°
Positions (direct):
La 0.000 0.000 0.000
La 0.500 0.500 0.374
Sb 0.500 0.500 0.743
Ru 0.000 0.000 0.597

Properties
The total moment is 0.00 μB/f.u. The calculation puts the calculated density at 7.72 Mg/m³. The formation energy from raw total energies is -217 meV per atom. For the density of states at the Fermi level, the calculation gives 1.2557 states/eV/atom.



Entry 9:
VASP calculation (PBE-GGA) on a relaxed La2SbRu2 crystal.

Cell: 7.284 7.284 4.423 Å, 90.00 90.00 90.00°
Positions (direct):
La 0.185 0.315 0.000
La 0.315 0.815 0.000
La 0.685 0.185 0.000
La 0.815 0.685 0.000
Sb 0.000 0.000 0.500
Sb 0.500 0.500 0.500
Ru 0.119 0.619 0.500
Ru 0.381 0.119 0.500
Ru 0.619 0.881 0.500
Ru 0.881 0.381 0.500

Properties
The total moment is 0.00 μB/f.u. The calculation puts the calculated density at 8.52 Mg/m³. The formation energy from raw total energies is -431 meV per atom. For the density of states at the Fermi level, the calculation gives 1.2408 states/eV/atom. The energy above the most stable polymorph in this dataset is 0.00 eV per formula unit.



Entry 10:
VASP calculation (PBE-GGA) on a relaxed LaSb2Ru crystal.

Cell: 7.278 7.278 7.278 Å, 90.00 90.00 90.00°
Positions (direct):
La 0.000 0.000 0.000
La 0.000 0.500 0.500
La 0.500 0.000 0.500
La 0.500 0.500 0.000
Sb 0.000 0.000 0.500
Sb 0.000 0.500 0.000
Sb 0.250 0.250 0.750
Sb 0.250 0.750 0.250
Sb 0.500 0.000 0.000
Sb 0.500 0.500 0.500
Sb 0.750 0.250 0.250
Sb 0.750 0.750 0.750
Ru 0.250 0.250 0.250
Ru 0.250 0.750 0.750
Ru 0.750 0.250 0.750
Ru 0.750 0.750 0.250

Properties
The total moment is 0.09 μB/f.u. The calculation puts the calculated density at 8.33 Mg/m³. The formation energy from raw total energies is -37 meV per atom. For the density of states at the Fermi level, the calculation gives 0.9335 states/eV/atom.



Entry 11:
VASP calculation (PBE-GGA) on a relaxed La2SbRu crystal.

Cell: 4.380 4.681 10.817 Å, 90.00 90.00 90.00°
Positions (direct):
La 0.000 0.000 0.000
La 0.000 0.500 0.500
La 0.500 0.000 0.307
La 0.500 0.500 0.807
Sb 0.500 0.000 0.604
Sb 0.500 0.500 0.104
Ru 0.000 0.000 0.776
Ru 0.000 0.500 0.276

Properties
The total moment is 0.00 μB/f.u. The calculation puts the calculated density at 7.50 Mg/m³. The formation energy from raw total energies is -658 meV per atom. For the density of states at the Fermi level, the calculation gives 0.7319 states/eV/atom.



Entry 12:
VASP calculation (PBE-GGA) on a relaxed LaSb2Ru crystal.

Cell: 4.476 4.476 9.543 Å, 90.00 90.00 90.00°
Positions (direct):
La 0.000 0.000 0.000
La 0.500 0.500 0.500
Sb 0.000 0.000 0.500
Sb 0.000 0.500 0.250
Sb 0.500 0.000 0.750
Sb 0.500 0.500 0.000
Ru 0.000 0.500 0.750
Ru 0.500 0.000 0.250

Properties
The total moment is 0.00 μB/f.u. The calculation puts the calculated density at 8.40 Mg/m³. The formation energy from raw total energies is -150 meV per atom. For the density of states at the Fermi level, the calculation gives 0.7622 states/eV/atom.